A plane-wave DFT calculation with GGA-PBE was carried out for a geometry-optimized ZnPW2 structure.

a = 3.7557 Å, b = 3.7557 Å, c = 9.5099 Å
α = 78.61°, β = 78.61°, γ = 90.00°
Positions (direct):
Zn 0.7500 0.2500 0.5000
P 0.5000 0.5000 0.0000
W 0.3750 0.3692 0.7500
P 0.2500 0.7500 0.5000
Zn 0.0000 0.0000 0.0000
W 0.8750 0.8808 0.7500
W 0.1192 0.6250 0.2500
W 0.6308 0.1250 0.2500

E, Ha/atom: -0.280
E_form, kJ/mol of atoms: 50.1
Total magnetization, Bohr magnetons per cell: 0.00
Distance to the lowest polymorph of the same formula, meV per atom: 375


A plane-wave DFT calculation with GGA-PBE was carried out for a geometry-optimized ZnPW2 structure.

a = 8.3991 Å, b = 8.3991 Å, c = 8.3991 Å
α = 19.92°, β = 19.92°, γ = 19.92°
Positions (direct):
W 0.2572 0.2572 0.2572
P 0.0000 0.0000 0.0000
Zn 0.5000 0.5000 0.5000
W 0.7428 0.7428 0.7428

E, Ha/atom: -0.292
E_form, kJ/mol of atoms: 19.9
Total magnetization, Bohr magnetons per cell: 0.00
Distance to the lowest polymorph of the same formula, meV per atom: 63


A plane-wave DFT calculation with GGA-PBE was carried out for a geometry-optimized ZnPW2 structure.

a = 3.0632 Å, b = 4.6040 Å, c = 4.6155 Å
α = 68.00°, β = 90.00°, γ = 90.00°
Positions (direct):
Zn 0.5000 0.0000 0.5000
P 0.0000 0.5000 0.5000
W 0.5000 0.5000 0.0000
W 0.0000 0.0000 0.0000

E, Ha/atom: -0.287
E_form, kJ/mol of atoms: 31.8
Total magnetization, Bohr magnetons per cell: 0.00
Distance to the lowest polymorph of the same formula, meV per atom: 186


A plane-wave DFT calculation with GGA-PBE was carried out for a geometry-optimized Zn3PW structure.

a = 4.8855 Å, b = 4.8855 Å, c = 4.8855 Å
α = 90.00°, β = 90.00°, γ = 90.00°
Positions (direct):
Zn 0.0000 0.0000 0.5000
Zn 0.0000 0.5000 0.0000
P 0.5000 0.5000 0.5000
W 0.0000 0.0000 0.0000
Zn 0.5000 0.0000 0.0000

E, Ha/atom: -0.107
E_form, kJ/mol of atoms: 146.0
Total magnetization, Bohr magnetons per cell: 0.00
Distance to the lowest polymorph of the same formula, meV per atom: 296


A plane-wave DFT calculation with GGA-PBE was carried out for a geometry-optimized ZnPW structure.

a = 4.9869 Å, b = 4.9869 Å, c = 4.9869 Å
α = 143.52°, β = 143.52°, γ = 52.55°
Positions (direct):
Zn 0.6621 0.6621 0.0000
W 0.3541 0.3541 0.0000
P 0.9839 0.9839 0.0000

E, Ha/atom: -0.241
E_form, kJ/mol of atoms: -0.6
Total magnetization, Bohr magnetons per cell: 0.00


A plane-wave DFT calculation with GGA-PBE was carried out for a geometry-optimized ZnPW2 structure.

a = 4.8920 Å, b = 4.8920 Å, c = 4.8920 Å
α = 134.58°, β = 134.58°, γ = 66.19°
Positions (direct):
W 0.2500 0.7500 0.5000
Zn 0.5000 0.5000 0.0000
P 0.7500 0.2500 0.5000
W 0.0000 0.0000 0.0000

E, Ha/atom: -0.286
E_form, kJ/mol of atoms: 35.7
Total magnetization, Bohr magnetons per cell: 0.00
Distance to the lowest polymorph of the same formula, meV per atom: 226


A plane-wave DFT calculation with GGA-PBE was carried out for a geometry-optimized Zn4PW structure.

a = 4.9881 Å, b = 4.9881 Å, c = 4.9881 Å
α = 60.00°, β = 60.00°, γ = 60.00°
Positions (direct):
W 0.0000 0.0000 0.0000
Zn 0.8781 0.3740 0.3740
Zn 0.3740 0.3740 0.3740
Zn 0.3740 0.8781 0.3740
P 0.7500 0.7500 0.7500
Zn 0.3740 0.3740 0.8781

E, Ha/atom: -0.126
E_form, kJ/mol of atoms: 46.7
Total magnetization, Bohr magnetons per cell: 0.00


A plane-wave DFT calculation with GGA-PBE was carried out for a geometry-optimized ZnPW2 structure.

a = 3.2054 Å, b = 4.1081 Å, c = 4.5222 Å
α = 90.00°, β = 90.00°, γ = 90.00°
Positions (direct):
P 0.0000 0.5000 0.5000
W 0.5000 0.0000 0.5000
W 0.0000 0.0000 0.0000
Zn 0.5000 0.5000 0.0000

E, Ha/atom: -0.285
E_form, kJ/mol of atoms: 38.1
Total magnetization, Bohr magnetons per cell: 0.00
Distance to the lowest polymorph of the same formula, meV per atom: 252


A plane-wave DFT calculation with GGA-PBE was carried out for a geometry-optimized ZnPW structure.

a = 4.0542 Å, b = 4.0542 Å, c = 3.3040 Å
α = 90.00°, β = 90.00°, γ = 120.00°
Positions (direct):
Zn 0.6667 0.3333 0.5000
P 0.0000 0.0000 0.0000
W 0.3333 0.6667 0.0000

E, Ha/atom: -0.234
E_form, kJ/mol of atoms: 16.8
Total magnetization, Bohr magnetons per cell: 0.00


A plane-wave DFT calculation with GGA-PBE was carried out for a geometry-optimized ZnPW2 structure.

a = 2.9499 Å, b = 2.9499 Å, c = 6.7803 Å
α = 90.00°, β = 90.00°, γ = 90.00°
Positions (direct):
P 0.5000 0.5000 0.5000
W 0.0000 0.0000 0.2897
W 0.0000 0.0000 0.7103
Zn 0.5000 0.5000 0.0000

E, Ha/atom: -0.293
E_form, kJ/mol of atoms: 17.2
Total magnetization, Bohr magnetons per cell: 0.00
Distance to the lowest polymorph of the same formula, meV per atom: 35


A plane-wave DFT calculation with GGA-PBE was carried out for a geometry-optimized ZnPW structure.

a = 6.9616 Å, b = 6.7615 Å, c = 2.8215 Å
α = 82.14°, β = 74.18°, γ = 23.67°
Positions (direct):
Zn 0.3228 0.3228 0.6772
P 0.0206 0.0206 0.9794
W 0.6566 0.6566 0.3434

E, Ha/atom: -0.228
E_form, kJ/mol of atoms: 32.1
Total magnetization, Bohr magnetons per cell: 0.00


A plane-wave DFT calculation with GGA-PBE was carried out for a geometry-optimized ZnPW2 structure.

a = 4.0509 Å, b = 2.7986 Å, c = 5.4141 Å
α = 78.43°, β = 90.00°, γ = 90.00°
Positions (direct):
W 0.0000 0.2061 0.7440
P 0.5000 0.5000 0.5000
Zn 0.5000 0.5000 0.0000
W 0.0000 0.7939 0.2560

E, Ha/atom: -0.289
E_form, kJ/mol of atoms: 27.1
Total magnetization, Bohr magnetons per cell: 0.00
Distance to the lowest polymorph of the same formula, meV per atom: 137


A plane-wave DFT calculation with GGA-PBE was carried out for a geometry-optimized ZnPW4 structure.

a = 5.2781 Å, b = 5.2781 Å, c = 5.2781 Å
α = 60.00°, β = 60.00°, γ = 60.00°
Positions (direct):
W 0.6235 0.1295 0.6235
W 0.1295 0.6235 0.6235
W 0.6235 0.6235 0.6235
Zn 0.2500 0.2500 0.2500
P 0.0000 0.0000 0.0000
W 0.6235 0.6235 0.1295

E, Ha/atom: -0.325
E_form, kJ/mol of atoms: 86.4
Total magnetization, Bohr magnetons per cell: 0.00


A plane-wave DFT calculation with GGA-PBE was carried out for a geometry-optimized ZnPW3 structure.

a = 4.4556 Å, b = 4.4556 Å, c = 4.4556 Å
α = 90.00°, β = 90.00°, γ = 90.00°
Positions (direct):
W 0.0000 0.0000 0.5000
W 0.5000 0.0000 0.0000
P 0.0000 0.0000 0.0000
Zn 0.5000 0.5000 0.5000
W 0.0000 0.5000 0.0000

E, Ha/atom: -0.299
E_form, kJ/mol of atoms: 95.0
Total magnetization, Bohr magnetons per cell: 0.00
Distance to the lowest polymorph of the same formula, meV per atom: 0


A plane-wave DFT calculation with GGA-PBE was carried out for a geometry-optimized ZnPW2 structure.

a = 3.1697 Å, b = 3.1697 Å, c = 5.8877 Å
α = 90.00°, β = 90.00°, γ = 90.00°
Positions (direct):
W 0.0000 0.0000 0.9797
W 0.5000 0.5000 0.2511
Zn 0.0000 0.0000 0.5054
P 0.5000 0.5000 0.7638

E, Ha/atom: -0.294
E_form, kJ/mol of atoms: 13.9
Total magnetization, Bohr magnetons per cell: 0.00
Distance to the lowest polymorph of the same formula, meV per atom: 0


A plane-wave DFT calculation with GGA-PBE was carried out for a geometry-optimized ZnPW structure.

a = 4.0423 Å, b = 4.0423 Å, c = 4.0423 Å
α = 60.00°, β = 60.00°, γ = 60.00°
Positions (direct):
P 0.2500 0.2500 0.2500
W 0.0000 0.0000 0.0000
Zn 0.5000 0.5000 0.5000

E, Ha/atom: -0.228
E_form, kJ/mol of atoms: 33.7
Total magnetization, Bohr magnetons per cell: 0.00


A plane-wave DFT calculation with GGA-PBE was carried out for a geometry-optimized ZnPW2 structure.

a = 2.8293 Å, b = 2.8293 Å, c = 8.1105 Å
α = 90.00°, β = 90.00°, γ = 111.40°
Positions (direct):
P 0.5000 0.5000 0.0000
W 0.0000 0.0000 0.2257
W 0.0000 0.0000 0.7743
Zn 0.5000 0.5000 0.5000

E, Ha/atom: -0.287
E_form, kJ/mol of atoms: 31.7
Total magnetization, Bohr magnetons per cell: 0.00
Distance to the lowest polymorph of the same formula, meV per atom: 185


A plane-wave DFT calculation with GGA-PBE was carried out for a geometry-optimized ZnPW2 structure.

a = 8.6806 Å, b = 8.6806 Å, c = 8.6806 Å
α = 19.37°, β = 19.37°, γ = 19.37°
Positions (direct):
Zn 0.5026 0.5026 0.5026
W 0.9918 0.9918 0.9918
W 0.7493 0.7493 0.7493
P 0.2563 0.2563 0.2563

E, Ha/atom: -0.291
E_form, kJ/mol of atoms: 22.2
Total magnetization, Bohr magnetons per cell: 0.00
Distance to the lowest polymorph of the same formula, meV per atom: 87


A plane-wave DFT calculation with GGA-PBE was carried out for a geometry-optimized Zn2P2W structure.

a = 6.2547 Å, b = 6.2547 Å, c = 3.8027 Å
α = 90.00°, β = 90.00°, γ = 90.00°
Positions (direct):
Zn 0.6838 0.8162 0.5000
W 0.0000 0.0000 0.0000
P 0.8708 0.6292 0.0000
Zn 0.3162 0.1838 0.5000
Zn 0.8162 0.3162 0.5000
Zn 0.1838 0.6838 0.5000
P 0.1292 0.3708 0.0000
P 0.3708 0.8708 0.0000
P 0.6292 0.1292 0.0000
W 0.5000 0.5000 0.0000

E, Ha/atom: -0.190
E_form, kJ/mol of atoms: 8.8
Total magnetization, Bohr magnetons per cell: 0.00


A plane-wave DFT calculation with GGA-PBE was carried out for a geometry-optimized ZnPW structure.

a = 4.1620 Å, b = 4.1620 Å, c = 4.1620 Å
α = 60.00°, β = 60.00°, γ = 60.00°
Each line ends with the local moment (μB).
Positions (direct):
P 0.5000 0.5000 0.5000  -0.02
W 0.2500 0.2500 0.2500  0.58
Zn 0.0000 0.0000 0.0000  0.00

E, Ha/atom: -0.219
E_form, kJ/mol of atoms: 57.6
Total magnetization, Bohr magnetons per cell: 0.73